[1]
This record from Alexandria via LeMat-Bulk describes an optimized crystal structure of Li2ErMg. The functional is PBE.

Properties
- DOS(E_F): 9.2 states/eV per cell
- ΔH_f (0 K): 103 meV per atom

Cell: 3.2639 3.2639 31.3242 Å, 90.00 90.00 120.00°
Space group R3m (No. 160, hexagonal axes)
Symmetry-distinct sites (fractional):
1 Li 0.0000 0.0000 0.0000 [3 per cell]
2 Li 0.0000 0.0000 0.1758 [3 per cell]
3 Er 0.0000 0.0000 0.4210 [3 per cell]
4 Mg 0.0000 0.0000 0.5882 [3 per cell]

---

[2]
This record from Alexandria via LeMat-Bulk describes an optimized crystal structure of CsSnSF2. The functional is PBE.

Properties
- DOS(E_F): 0.2 states/eV per cell
- Raw formation energy: -8.950 eV per formula unit

Cell: 4.799 4.799 5.018 Å, 90.00 90.00 90.00°
Space group P4/mmm (No. 123)
Symmetry-distinct sites (fractional):
1 Cs 0.000 0.000 0.000 [1 per cell]
2 Sn 0.500 0.500 0.500 [1 per cell]
3 S 0.500 0.500 0.000 [1 per cell]
4 F 0.000 0.500 0.500 [2 per cell]

---

Number 1: volume 24.08 Å³/atom. Number 2: volume 23.11 Å³/atom.